# RbGa2AgCl8

A geometry-optimized RbGa2AgCl8 structure (PBE-GGA, Alexandria via LeMat-Bulk).

**Calculated total energy**: -39.10 eV/cell
**Mass density**: 2.83 g/cm³
**E_form (uncorrected)**: -1.2044 eV/atom

Cell: 6.579 6.579 9.665 Å, 90.00 90.00 120.00°
Sites, in units of the cell vectors:
Cl 0.659 0.678 0.680
Cl 0.019 0.341 0.680
Cl 0.667 0.333 0.023
Cl 0.322 0.981 0.680
Cl 0.341 0.322 0.320
Cl 0.678 0.019 0.320
Cl 0.981 0.659 0.320
Cl 0.333 0.667 0.977
Rb 0.000 0.000 0.000
Ga 0.333 0.667 0.749
Ga 0.667 0.333 0.251
Ag 0.000 0.000 0.500

# SiCF2

A geometry-optimized SiCF2 structure (PBE-GGA, Alexandria via LeMat-Bulk).

**Calculated total energy**: -36.04 eV/cell
**Mass density**: 3.63 g/cm³
**Distance to the lowest polymorph of the same formula**: 0.006 eV per atom
**E_form (uncorrected)**: 0.0930 eV/atom

Cell: 3.142 3.142 7.573 Å, 78.03 78.03 90.00°
Sites, in units of the cell vectors:
Si 0.750 0.250 0.500
Si 0.000 0.000 0.000
C 0.250 0.750 0.500
C 0.500 0.500 0.000
F 0.875 0.887 0.750
F 0.375 0.363 0.750
F 0.113 0.625 0.250
F 0.637 0.125 0.250

# Ac2NdPN5

A geometry-optimized Ac2NdPN5 structure (PBE-GGA, Alexandria via LeMat-Bulk).

**Calculated total energy**: -138.37 eV/cell
**Mass density**: 8.41 g/cm³
**E_form (uncorrected)**: -1.0184 eV/atom

Cell: 7.039 7.039 7.470 Å, 118.11 118.11 90.00°
Sites, in units of the cell vectors:
N 0.527 0.292 0.320
N 0.000 0.000 0.000
N 0.292 0.792 0.320
N 0.473 0.708 0.680
N 0.792 0.027 0.320
N 0.500 0.500 0.000
N 0.027 0.527 0.320
N 0.208 0.973 0.680
N 0.708 0.208 0.680
N 0.973 0.473 0.680
Ac 0.181 0.319 0.000
Ac 0.681 0.181 0.000
Ac 0.319 0.819 0.000
Ac 0.819 0.681 0.000
Nd 0.250 0.250 0.500
Nd 0.750 0.750 0.500
P 0.750 0.250 0.500
P 0.250 0.750 0.500

# SrTlPS2

A geometry-optimized SrTlPS2 structure (PBE-GGA, Alexandria via LeMat-Bulk).

**Calculated total energy**: -16.45 eV/cell
**Mass density**: 3.38 g/cm³
**Distance to the lowest polymorph of the same formula**: 0.311 eV per atom
**E_form (uncorrected)**: 0.2522 eV/atom

Cell: 5.654 5.654 5.953 Å, 90.00 90.00 90.00°
Last column: magnetic moment on the atom in μB.
Sites, in units of the cell vectors:
P 0.000 0.000 0.500  0.93
Tl 0.500 0.500 0.500  0.01
S 0.000 0.500 0.000  0.53
S 0.500 0.000 0.000  0.53
Sr 0.000 0.000 0.000  0.03

# BaTc2Sn

A geometry-optimized BaTc2Sn structure (PBE-GGA, Alexandria via LeMat-Bulk).

**Formation enthalpy at 0 K**: 0.620 eV/atom
**Calculated total energy**: -48.35 eV/cell
**Mass density**: 6.63 g/cm³

Cell: 4.855 4.855 10.200 Å, 76.23 76.23 90.00°
Sites, in units of the cell vectors:
Tc 0.420 0.125 0.250
Tc 0.875 0.670 0.750
Tc 0.375 0.580 0.750
Tc 0.330 0.625 0.250
Sn 0.500 0.500 0.000
Sn 0.250 0.750 0.500
Ba 0.750 0.250 0.500
Ba 0.000 0.000 0.000

# LaMo2Ir

A geometry-optimized LaMo2Ir structure (PBE-GGA, Alexandria via LeMat-Bulk).

**Formation enthalpy at 0 K**: 0.384 eV/atom
**Calculated total energy**: -33.91 eV/cell
**Mass density**: 11.41 g/cm³
**Distance to the lowest polymorph of the same formula**: 0.241 eV per atom

Cell: 4.493 2.876 5.940 Å, 82.41 90.00 90.00°
Sites, in units of the cell vectors:
Mo 0.000 0.574 0.445
Mo 0.000 0.926 0.055
La 0.500 0.750 0.750
Ir 0.500 0.250 0.250

# Pm2Ge2Ir

A geometry-optimized Pm2Ge2Ir structure (PBE-GGA, Alexandria via LeMat-Bulk).

**Formation enthalpy at 0 K**: -0.872 eV/atom
**Calculated total energy**: -63.91 eV/cell
**Mass density**: 9.33 g/cm³

Cell: 4.367 5.858 9.680 Å, 88.48 76.96 68.12°
Sites, in units of the cell vectors:
Ge 0.632 0.853 0.883
Ge 0.368 0.147 0.117
Ge 0.899 0.755 0.447
Ge 0.101 0.245 0.553
Ir 0.393 0.879 0.336
Ir 0.607 0.121 0.664
Pm 0.677 0.315 0.331
Pm 0.927 0.264 0.882
Pm 0.323 0.685 0.669
Pm 0.073 0.736 0.118

# Cd11Pt4Au9

A geometry-optimized Cd11Pt4Au9 structure (PBE-GGA, Alexandria via LeMat-Bulk).

**Formation enthalpy at 0 K**: -0.183 eV/atom
**Calculated total energy**: -68.11 eV/cell
**Mass density**: 13.49 g/cm³

Cell: 3.752 11.600 11.600 Å, 112.46 90.00 90.00°
Sites, in units of the cell vectors:
Pt 0.500 0.247 0.425
Pt 0.500 0.575 0.753
Pt 0.500 0.425 0.247
Pt 0.500 0.753 0.575
Cd 0.000 0.062 0.409
Cd 0.000 0.621 0.379
Cd 0.000 0.000 0.000
Cd 0.000 0.379 0.621
Cd 0.000 0.409 0.062
Cd 0.000 0.750 0.750
Cd 0.000 0.820 0.180
Cd 0.000 0.250 0.250
Cd 0.000 0.180 0.820
Cd 0.000 0.938 0.591
Cd 0.000 0.591 0.938
Au 0.500 0.156 0.619
Au 0.500 0.025 0.201
Au 0.500 0.500 0.500
Au 0.500 0.619 0.156
Au 0.500 0.201 0.025
Au 0.500 0.799 0.975
Au 0.500 0.975 0.799
Au 0.500 0.844 0.381
Au 0.500 0.381 0.844

# SrBePb3

A geometry-optimized SrBePb3 structure (PBE-GGA, Alexandria via LeMat-Bulk).

**Formation enthalpy at 0 K**: 1.307 eV/atom
**Calculated total energy**: -10.00 eV/cell
**Mass density**: 5.06 g/cm³
**Distance to the lowest polymorph of the same formula**: 1.257 eV per atom

Cell: 6.178 6.178 6.178 Å, 90.00 90.00 90.00°
Last column: magnetic moment on the atom in μB.
Sites, in units of the cell vectors:
Pb 0.000 0.500 0.000  0.08
Pb 0.000 0.000 0.500  0.05
Pb 0.500 0.000 0.000  0.08
Sr 0.000 0.000 0.000  0.10
Be 0.500 0.500 0.500  -0.01

# SmZrAu2

A geometry-optimized SmZrAu2 structure (PBE-GGA, Alexandria via LeMat-Bulk).

**Formation enthalpy at 0 K**: -0.596 eV/atom
**Calculated total energy**: -22.21 eV/cell
**Mass density**: 11.78 g/cm³

Cell: 3.501 3.501 7.310 Å, 90.00 90.00 90.00°
Last column: magnetic moment on the atom in μB.
Sites, in units of the cell vectors:
Au 0.000 0.000 0.780  0.02
Au 0.000 0.000 0.220  0.02
Sm 0.500 0.500 0.500  0.00
Zr 0.500 0.500 0.000  0.20

# FeCuAuN

A geometry-optimized FeCuAuN structure (PBE-GGA, Alexandria via LeMat-Bulk).

**Calculated total energy**: -23.83 eV/cell
**Mass density**: 10.70 g/cm³
**Distance to the lowest polymorph of the same formula**: 0.000 eV per atom
**E_form (uncorrected)**: 0.0834 eV/atom

Cell: 2.946 2.946 6.818 Å, 90.00 90.00 120.00°
Sites, in units of the cell vectors:
Fe 0.000 0.000 0.818
Cu 0.333 0.667 0.463
N 0.333 0.667 0.744
Au 0.667 0.333 0.157

# TaTc2Mo

A geometry-optimized TaTc2Mo structure (PBE-GGA, Alexandria via LeMat-Bulk).

**Formation enthalpy at 0 K**: -0.134 eV/atom
**Calculated total energy**: -43.95 eV/cell
**Mass density**: 12.45 g/cm³
**Distance to the lowest polymorph of the same formula**: 0.065 eV per atom

Cell: 5.258 5.258 5.258 Å, 145.04 130.08 62.39°
Sites, in units of the cell vectors:
Tc 0.004 0.004 0.000
Tc 0.746 0.246 0.500
Ta 0.251 0.751 0.500
Mo 0.499 0.499 0.000

# Sm2ErSc

A geometry-optimized Sm2ErSc structure (PBE-GGA, Alexandria via LeMat-Bulk).

**Formation enthalpy at 0 K**: 0.048 eV/atom
**Calculated total energy**: -20.14 eV/cell
**Mass density**: 6.97 g/cm³
**Distance to the lowest polymorph of the same formula**: 0.008 eV per atom

Cell: 3.536 3.536 11.467 Å, 81.13 81.13 60.00°
Sites, in units of the cell vectors:
Sm 0.081 0.081 0.757
Sm 0.252 0.252 0.243
Er 0.500 0.500 0.501
Sc 0.667 0.667 0.999

# HfAgSn2

A geometry-optimized HfAgSn2 structure (PBE-GGA, Alexandria via LeMat-Bulk).

**Formation enthalpy at 0 K**: 0.138 eV/atom
**Calculated total energy**: -20.26 eV/cell
**Mass density**: 9.63 g/cm³
**Distance to the lowest polymorph of the same formula**: 0.232 eV per atom

Cell: 5.036 5.036 5.036 Å, 60.00 60.00 60.00°
Sites, in units of the cell vectors:
Sn 0.750 0.750 0.750
Sn 0.250 0.250 0.250
Ag 0.000 0.000 0.000
Hf 0.500 0.500 0.500

# ErPuAu

A geometry-optimized ErPuAu structure (PBE-GGA, Alexandria via LeMat-Bulk).

**Formation enthalpy at 0 K**: -0.350 eV/atom
**Calculated total energy**: -23.22 eV/cell
**Mass density**: 12.97 g/cm³
**Distance to the lowest polymorph of the same formula**: 0.000 eV per atom

Cell: 3.555 3.555 6.656 Å, 105.49 105.49 90.00°
Last column: magnetic moment on the atom in μB.
Sites, in units of the cell vectors:
Au 0.678 0.678 0.355  0.02
Pu 0.015 0.015 0.029  5.58
Er 0.308 0.308 0.615  0.27

# Zn4CoAu

A geometry-optimized Zn4CoAu structure (PBE-GGA, Alexandria via LeMat-Bulk).

**Formation enthalpy at 0 K**: 0.028 eV/atom
**Calculated total energy**: -30.63 eV/cell
**Mass density**: 8.39 g/cm³
**Distance to the lowest polymorph of the same formula**: 0.040 eV per atom

Cell: 5.645 6.425 5.646 Å, 90.00 90.00 90.00°
Sites, in units of the cell vectors:
Zn 0.750 0.783 0.500
Zn 0.750 0.783 0.000
Zn 0.750 0.217 0.000
Zn 0.250 0.217 0.500
Zn 0.250 0.217 0.000
Zn 0.250 0.783 0.000
Zn 0.250 0.783 0.500
Zn 0.750 0.217 0.500
Co 0.500 0.000 0.250
Co 0.000 0.000 0.750
Au 0.500 0.500 0.750
Au 0.000 0.500 0.250

# KNaH2Au

A geometry-optimized KNaH2Au structure (PBE-GGA, Alexandria via LeMat-Bulk).

**Calculated total energy**: -26.11 eV/cell
**Mass density**: 3.60 g/cm³

Cell: 5.007 7.437 7.466 Å, 119.87 90.00 90.00°
Sites, in units of the cell vectors:
Au 0.000 0.500 0.000
Au 0.000 0.000 0.000
H 0.723 0.929 0.857
H 0.277 0.071 0.143
H 0.277 0.429 0.857
H 0.723 0.571 0.143
Na 0.500 0.750 0.000
Na 0.500 0.250 0.000
K 0.854 0.250 0.500
K 0.146 0.750 0.500

# AlTcIr2

A geometry-optimized AlTcIr2 structure (PBE-GGA, Alexandria via LeMat-Bulk).

**Formation enthalpy at 0 K**: -0.372 eV/atom
**Calculated total energy**: -33.32 eV/cell
**Mass density**: 14.71 g/cm³

Cell: 4.650 4.650 2.777 Å, 90.00 90.00 106.65°
Sites, in units of the cell vectors:
Al 0.000 0.500 0.500
Ir 0.500 0.500 0.000
Ir 0.000 0.000 0.000
Tc 0.500 0.000 0.500

# BaMn2Se

A geometry-optimized BaMn2Se structure (PBE-GGA, Alexandria via LeMat-Bulk).

**Calculated total energy**: -23.16 eV/cell
**Mass density**: 4.89 g/cm³
**E_form (uncorrected)**: 0.1462 eV/atom

Cell: 5.472 5.472 5.472 Å, 130.70 109.56 90.76°
Last column: magnetic moment on the atom in μB.
Sites, in units of the cell vectors:
Mn 0.929 0.929 0.000  3.90
Mn 0.719 0.219 0.500  3.62
Ba 0.257 0.757 0.500  -0.02
Se 0.595 0.595 0.000  0.04

# K2Sb2Au

A geometry-optimized K2Sb2Au structure (PBE-GGA, Alexandria via LeMat-Bulk).

**Calculated total energy**: -27.78 eV/cell
**Mass density**: 4.87 g/cm³
**E_form (uncorrected)**: -0.0348 eV/atom

Cell: 10.292 10.292 3.337 Å, 90.00 90.00 90.00°
Sites, in units of the cell vectors:
Sb 0.407 0.093 0.500
Sb 0.593 0.907 0.500
Sb 0.907 0.407 0.500
Sb 0.093 0.593 0.500
K 0.298 0.798 0.000
K 0.202 0.298 0.000
K 0.702 0.202 0.000
K 0.798 0.702 0.000
Au 0.000 0.000 0.000
Au 0.500 0.500 0.000

# NaHoMg2

A geometry-optimized NaHoMg2 structure (PBE-GGA, Alexandria via LeMat-Bulk).

**Formation enthalpy at 0 K**: 0.047 eV/atom
**Calculated total energy**: -8.90 eV/cell
**Mass density**: 3.50 g/cm³
**Distance to the lowest polymorph of the same formula**: 0.000 eV per atom

Cell: 3.368 3.368 9.885 Å, 90.00 90.00 90.00°
Sites, in units of the cell vectors:
Ho 0.500 0.500 0.500
Mg 0.000 0.000 0.738
Mg 0.000 0.000 0.262
Na 0.500 0.500 0.000

# Nd2SmCo6

A geometry-optimized Nd2SmCo6 structure (PBE-GGA, Alexandria via LeMat-Bulk).

**Formation enthalpy at 0 K**: -0.087 eV/atom
**Calculated total energy**: -57.67 eV/cell
**Mass density**: 7.95 g/cm³

Cell: 4.204 6.742 6.742 Å, 120.00 90.00 90.00°
Last column: magnetic moment on the atom in μB.
Sites, in units of the cell vectors:
Co 0.500 0.333 0.000  0.89
Co 0.500 0.667 0.000  0.89
Co 0.500 0.000 0.667  0.89
Co 0.500 0.333 0.333  0.89
Co 0.500 0.667 0.667  0.89
Co 0.500 0.000 0.333  0.89
Nd 0.000 0.667 0.333  -0.11
Nd 0.000 0.333 0.667  -0.11
Sm 0.000 0.000 0.000  -0.12

# TiBeCd2Mo

A geometry-optimized TiBeCd2Mo structure (PBE-GGA, Alexandria via LeMat-Bulk).

**Formation enthalpy at 0 K**: 0.794 eV/atom
**Calculated total energy**: -20.31 eV/cell
**Mass density**: 7.20 g/cm³

Cell: 4.375 4.552 4.375 Å, 90.00 90.00 90.00°
Last column: magnetic moment on the atom in μB.
Sites, in units of the cell vectors:
Be 0.000 0.000 0.000  0.01
Mo 0.500 0.500 0.500  0.66
Cd 0.000 0.000 0.500  0.00
Cd 0.500 0.000 0.000  0.00
Ti 0.000 0.500 0.000  -0.01

# LiMg2Be

A geometry-optimized LiMg2Be structure (PBE-GGA, Alexandria via LeMat-Bulk).

**Formation enthalpy at 0 K**: 0.273 eV/atom
**Calculated total energy**: -7.74 eV/cell
**Mass density**: 1.46 g/cm³

Cell: 9.310 9.310 9.310 Å, 18.83 18.83 18.83°
Sites, in units of the cell vectors:
Li 0.750 0.750 0.750
Mg 0.511 0.511 0.511
Mg 0.989 0.989 0.989
Be 0.250 0.250 0.250

# TbSm2Er4Sc

A geometry-optimized TbSm2Er4Sc structure (PBE-GGA, Alexandria via LeMat-Bulk).

**Formation enthalpy at 0 K**: 0.034 eV/atom
**Calculated total energy**: -38.38 eV/cell
**Mass density**: 7.94 g/cm³

Cell: 4.973 4.977 11.091 Å, 63.35 90.00 90.00°
Sites, in units of the cell vectors:
Sm 0.500 0.000 0.500
Sm 0.000 0.000 0.000
Er 0.000 0.245 0.255
Er 0.000 0.755 0.745
Er 0.500 0.255 0.745
Er 0.500 0.745 0.255
Sc 0.000 0.500 0.500
Tb 0.500 0.500 0.000